[1]
TaBPS2 | PBE | optimized geometry

The structure in CIF format:
```
data_TaBPS2
_symmetry_space_group_name_H-M 'P 4/m m m'
_symmetry_Int_Tables_number 123
_symmetry_space_group_name_Hall '-P 4 2'
_cell_length_a 4.131
_cell_length_b 4.131
_cell_length_c 4.093
_cell_angle_alpha 90.00
_cell_angle_beta 90.00
_cell_angle_gamma 90.00
loop_
_atom_site_label
_atom_site_fract_x
_atom_site_fract_y
_atom_site_fract_z
Ta1 0.000 0.000 0.000
B1 0.500 0.500 0.500
P1 0.500 0.500 0.000
S1 0.000 0.500 0.500
```

E_form (uncorrected) = 0.6365 eV/atom
Crystal system = tetragonal
Mass density = 6.821 Mg/m³
Magnetic moment = 0.000 μB per formula unit
Energy relative to the lowest polymorph listed for this composition = 0 meV per atom

[2]
Rb2BiPbS4 | PBE | optimized geometry

The structure in CIF format:
```
data_Rb2BiPbS4
_symmetry_space_group_name_H-M 'I m m a'
_symmetry_Int_Tables_number 74
_symmetry_space_group_name_Hall '-I 2b 2'
_cell_length_a 8.620
_cell_length_b 8.838
_cell_length_c 12.342
_cell_angle_alpha 90.00
_cell_angle_beta 90.00
_cell_angle_gamma 90.00
loop_
_atom_site_label
_atom_site_fract_x
_atom_site_fract_y
_atom_site_fract_z
Rb1 0.000 0.000 0.000
Rb2 0.250 0.250 0.250
Bi1 0.250 0.250 0.750
Pb1 0.000 0.000 0.500
S1 0.000 0.032 0.736
S2 0.219 0.250 0.516
```

E_form (uncorrected) = -0.6588 eV/atom
Crystal system = orthorhombic
Mass density = 5.054 Mg/m³
Magnetic moment = 0.000 μB per formula unit

[3]
Be7Nb3Cu2 | PBE | optimized geometry

The structure in CIF format:
```
data_Be7Nb3Cu2
_symmetry_space_group_name_H-M 'R -3 m'
_symmetry_Int_Tables_number 166
_symmetry_space_group_name_Hall '-R 3 2"'
_cell_length_a 4.6467
_cell_length_b 4.6467
_cell_length_c 21.6876
_cell_angle_alpha 90.00
_cell_angle_beta 90.00
_cell_angle_gamma 120.00
loop_
_atom_site_label
_atom_site_fract_x
_atom_site_fract_y
_atom_site_fract_z
Be1 0.0000 0.0000 0.0000
Be2 0.0083 0.5042 0.4145
Nb1 0.0000 0.0000 0.3584
Nb2 0.0000 0.0000 0.5000
Cu1 0.0000 0.0000 0.1650
```

Crystal system = trigonal
Mass density = 5.760 Mg/m³
Magnetic moment = 0.000 μB per formula unit
DFT formation energy = -189.2 meV/atom

[4]
NbBRu2 | PBE | optimized geometry

The structure in CIF format:
```
data_NbBRu2
_symmetry_space_group_name_H-M 'R -3 m'
_symmetry_Int_Tables_number 166
_symmetry_space_group_name_Hall '-R 3 2"'
_cell_length_a 2.9238
_cell_length_b 2.9238
_cell_length_c 21.6981
_cell_angle_alpha 90.00
_cell_angle_beta 90.00
_cell_angle_gamma 120.00
loop_
_atom_site_label
_atom_site_fract_x
_atom_site_fract_y
_atom_site_fract_z
Nb1 0.0000 0.0000 0.0000
B1 0.0000 0.0000 0.5000
Ru1 0.0000 0.0000 0.2265
```

Crystal system = trigonal
Mass density = 9.485 Mg/m³
Magnetic moment = 0.000 μB per formula unit
DFT formation energy = -95.7 meV/atom

[5]
NbAuN2F | PBE | optimized geometry

The structure in CIF format:
```
data_NbAuN2F
_symmetry_space_group_name_H-M 'P 4/m m m'
_symmetry_Int_Tables_number 123
_symmetry_space_group_name_Hall '-P 4 2'
_cell_length_a 4.049
_cell_length_b 4.049
_cell_length_c 4.109
_cell_angle_alpha 90.00
_cell_angle_beta 90.00
_cell_angle_gamma 90.00
loop_
_atom_site_label
_atom_site_fract_x
_atom_site_fract_y
_atom_site_fract_z
Nb1 0.000 0.000 0.000
Au1 0.500 0.500 0.500
N1 0.000 0.500 0.500
F1 0.500 0.500 0.000
```

E_form (uncorrected) = 1.3362 eV/atom
Crystal system = tetragonal
Mass density = 8.303 Mg/m³
Magnetic moment = 0.070 μB per formula unit
Energy relative to the lowest polymorph listed for this composition = 1436 meV per atom

[6]
PuBPt | PBE | optimized geometry

The structure in CIF format:
```
data_PuBPt
_symmetry_space_group_name_H-M 'F m m m'
_symmetry_Int_Tables_number 69
_symmetry_space_group_name_Hall '-F 2 2'
_cell_length_a 4.785
_cell_length_b 7.419
_cell_length_c 9.552
_cell_angle_alpha 90.00
_cell_angle_beta 90.00
_cell_angle_gamma 90.00
loop_
_atom_site_label
_atom_site_fract_x
_atom_site_fract_y
_atom_site_fract_z
Pu1 0.000 0.159 0.000
B1 0.250 0.250 0.250
Pt1 0.000 0.000 0.325
```

Crystal system = orthorhombic
Mass density = 17.626 Mg/m³
Magnetic moment = 3.017 μB per formula unit
Energy relative to the lowest polymorph listed for this composition = 225 meV per atom
DFT formation energy = -181.6 meV/atom

[7]
Mn2CdAu | PBE | optimized geometry

The structure in CIF format:
```
data_Mn2CdAu
_symmetry_space_group_name_H-M 'P 4 m m'
_symmetry_Int_Tables_number 99
_symmetry_space_group_name_Hall 'P 4 -2'
_cell_length_a 2.945
_cell_length_b 2.945
_cell_length_c 7.687
_cell_angle_alpha 90.00
_cell_angle_beta 90.00
_cell_angle_gamma 90.00
loop_
_atom_site_label
_atom_site_fract_x
_atom_site_fract_y
_atom_site_fract_z
Mn1 0.000 0.000 0.000
Mn2 0.500 0.500 0.217
Cd1 0.500 0.500 0.738
Au1 0.000 0.000 0.452
```

Crystal system = tetragonal
Mass density = 10.440 Mg/m³
Magnetic moment = 6.874 μB per formula unit
DFT formation energy = 149.9 meV/atom

[8]
TiAuSe2 | PBE | optimized geometry

The structure in CIF format:
```
data_TiAuSe2
_symmetry_space_group_name_H-M 'I -4 2 d'
_symmetry_Int_Tables_number 122
_symmetry_space_group_name_Hall 'I -4 2bw'
_cell_length_a 5.948
_cell_length_b 5.948
_cell_length_c 11.664
_cell_angle_alpha 90.00
_cell_angle_beta 90.00
_cell_angle_gamma 90.00
loop_
_atom_site_label
_atom_site_fract_x
_atom_site_fract_y
_atom_site_fract_z
Ti1 0.000 0.000 0.000
Au1 0.000 0.000 0.500
Se1 0.229 0.250 0.125
```

E_form (uncorrected) = -0.4665 eV/atom
Crystal system = tetragonal
Mass density = 6.483 Mg/m³
Magnetic moment = 1.000 μB per formula unit
Energy relative to the lowest polymorph listed for this composition = 242 meV per atom

[9]
Tl2OsAu | PBE | optimized geometry

The structure in CIF format:
```
data_Tl2OsAu
_symmetry_space_group_name_H-M 'P 1 m 1'
_symmetry_Int_Tables_number 6
_symmetry_space_group_name_Hall 'P -2y'
_cell_length_a 3.534
_cell_length_b 4.399
_cell_length_c 5.662
_cell_angle_alpha 90.00
_cell_angle_beta 108.01
_cell_angle_gamma 90.00
loop_
_atom_site_label
_atom_site_fract_x
_atom_site_fract_y
_atom_site_fract_z
Tl1 0.000 0.000 0.000
Tl2 0.302 0.500 0.604
Os1 0.739 0.000 0.473
Au1 0.580 0.500 0.158
```

Crystal system = monoclinic
Mass density = 15.793 Mg/m³
Magnetic moment = 0.000 μB per formula unit
Energy relative to the lowest polymorph listed for this composition = 48 meV per atom
DFT formation energy = 651.9 meV/atom

[10]
Ac8Te4Pt3S | PBE | optimized geometry

The structure in CIF format:
```
data_Ac8Te4Pt3S
_symmetry_space_group_name_H-M 'R -3 m'
_symmetry_Int_Tables_number 166
_symmetry_space_group_name_Hall '-R 3 2"'
_cell_length_a 8.9611
_cell_length_b 8.9611
_cell_length_c 23.9151
_cell_angle_alpha 90.00
_cell_angle_beta 90.00
_cell_angle_gamma 120.00
loop_
_atom_site_label
_atom_site_fract_x
_atom_site_fract_y
_atom_site_fract_z
Ac1 0.0000 0.0000 0.2364
Ac2 0.0072 0.5036 0.7609
Te1 0.0000 0.0000 0.0000
Te2 0.0000 0.5000 0.0000
Pt1 0.0000 0.5000 0.5000
S1 0.0000 0.0000 0.5000
```

E_form (uncorrected) = -1.4362 eV/atom
Crystal system = trigonal
Mass density = 8.817 Mg/m³
Magnetic moment = 0.000 μB per formula unit

[11]
Sr3In7Pt4 | PBE | optimized geometry

The structure in CIF format:
```
data_Sr3In7Pt4
_symmetry_space_group_name_H-M 'C 1 2/m 1'
_symmetry_Int_Tables_number 12
_symmetry_space_group_name_Hall '-C 2y'
_cell_length_a 17.093
_cell_length_b 4.612
_cell_length_c 10.232
_cell_angle_alpha 90.00
_cell_angle_beta 123.03
_cell_angle_gamma 90.00
loop_
_atom_site_label
_atom_site_fract_x
_atom_site_fract_y
_atom_site_fract_z
Sr1 0.000 0.000 0.000
Sr2 0.192 0.500 0.701
In1 0.000 0.000 0.500
In2 0.003 0.500 0.286
In3 0.162 0.000 0.429
In4 0.183 0.500 0.031
Pt1 0.119 0.000 0.841
Pt2 0.162 0.500 0.280
```

Crystal system = monoclinic
Mass density = 9.070 Mg/m³
Magnetic moment = 0.000 μB per formula unit
DFT formation energy = -643.7 meV/atom

[12]
Ac2PuThSe4 | PBE | optimized geometry

The structure in CIF format:
```
data_Ac2PuThSe4
_symmetry_space_group_name_H-M 'P 1 2/m 1'
_symmetry_Int_Tables_number 10
_symmetry_space_group_name_Hall '-P 2y'
_cell_length_a 7.458
_cell_length_b 4.288
_cell_length_c 7.550
_cell_angle_alpha 90.00
_cell_angle_beta 109.09
_cell_angle_gamma 90.00
loop_
_atom_site_label
_atom_site_fract_x
_atom_site_fract_y
_atom_site_fract_z
Ac1 0.000 0.000 0.000
Ac2 0.500 0.500 0.000
Pu1 0.000 0.500 0.500
Th1 0.500 0.000 0.500
Se1 0.240 0.000 0.729
Se2 0.253 0.500 0.268
```

E_form (uncorrected) = -1.6829 eV/atom
Crystal system = monoclinic
Mass density = 9.067 Mg/m³
Magnetic moment = 5.795 μB per formula unit